[1]
This record from Alexandria describes MnP2Se after structural relaxation. The functional is PBE.

Structure (CIF):
```
data_MnP2Se
_space_group_name_H-M_alt 'P 4/m m m'
_space_group_IT_number 123
_space_group_name_Hall '-P 4 2'
_cell_length_a 2.757
_cell_length_b 2.757
_cell_length_c 8.501
_cell_angle_alpha 90.00
_cell_angle_beta 90.00
_cell_angle_gamma 90.00
loop_
_atom_site_label
_atom_site_fract_x
_atom_site_fract_y
_atom_site_fract_z
Mn1 0.000 0.000 0.000
P1 0.500 0.500 0.159
Se1 0.000 0.000 0.500
```

The calculation puts the uncorrected formation energy at 0.039 eV/atom. The value obtained for the density of states at the Fermi level is 3.2 states/eV per cell. The spin magnetization is 0.00 μB/cell.



[2]
This record from Alexandria describes ErPd3Pt after structural relaxation. The functional is PBE.

Structure (CIF):
```
data_ErPd3Pt
_space_group_name_H-M_alt 'P 1 2/c 1'
_space_group_IT_number 13
_cell_length_a 5.131
_cell_length_b 7.880
_cell_length_c 4.928
_cell_angle_alpha 90.00
_cell_angle_beta 115.59
_cell_angle_gamma 90.00
loop_
_space_group_symop_operation_xyz
'x,y,z'
'-x,-y,-z'
'-x,y,-z+1/2'
'x,-y,z+1/2'
loop_
_atom_site_label
_atom_site_fract_x
_atom_site_fract_y
_atom_site_fract_z
Er1 0.000 0.205 0.250
Pd1 0.318 0.127 0.900
Pd2 0.500 0.426 0.250
Pt1 0.000 0.420 0.750
```

The value obtained for the density of states at the Fermi level is 9.4 states/eV per cell. The spin magnetization is 0.00 μB/cell. The calculated formation energy comes out at -293 kJ/mol of formula units.



[3]
This record from Alexandria describes ZrTlZnPd after structural relaxation. The functional is PBE.

Structure (CIF):
```
data_ZrTlZnPd
_space_group_name_H-M_alt 'F -4 3 m'
_space_group_IT_number 216
_space_group_name_Hall 'F -4 2 3'
_cell_length_a 6.689
_cell_length_b 6.689
_cell_length_c 6.689
_cell_angle_alpha 90.00
_cell_angle_beta 90.00
_cell_angle_gamma 90.00
loop_
_atom_site_label
_atom_site_fract_x
_atom_site_fract_y
_atom_site_fract_z
Zr1 0.000 0.000 0.000
Tl1 0.000 0.000 0.500
Zn1 0.250 0.250 0.750
Pd1 0.250 0.250 0.250
```

The value obtained for the density of states at the Fermi level is 9.2 states/eV per cell. The spin magnetization is 0.00 μB/cell. The calculated formation energy comes out at -93 kJ/mol of formula units.



[4]
This record from Alexandria describes TbLuBi2 after structural relaxation. The functional is PBE.

Structure (CIF):
```
data_TbLuBi2
_space_group_name_H-M_alt 'R -3 m'
_space_group_IT_number 166
_space_group_name_Hall '-R 3 2"'
_cell_length_a 4.4503
_cell_length_b 4.4503
_cell_length_c 21.7776
_cell_angle_alpha 90.00
_cell_angle_beta 90.00
_cell_angle_gamma 120.00
loop_
_atom_site_label
_atom_site_fract_x
_atom_site_fract_y
_atom_site_fract_z
Tb1 0.0000 0.0000 0.0000
Lu1 0.0000 0.0000 0.5000
Bi1 0.0000 0.0000 0.2479
```

The value obtained for the density of states at the Fermi level is 2.3 states/eV per cell. The spin magnetization is 0.00 μB/cell. The calculated formation energy comes out at -310 kJ/mol of formula units.



[5]
This record from Alexandria describes CaZn4Si after structural relaxation. The functional is PBE.

Structure (CIF):
```
data_CaZn4Si
_space_group_name_H-M_alt 'F -4 3 m'
_space_group_IT_number 216
_space_group_name_Hall 'F -4 2 3'
_cell_length_a 7.582
_cell_length_b 7.582
_cell_length_c 7.582
_cell_angle_alpha 90.00
_cell_angle_beta 90.00
_cell_angle_gamma 90.00
loop_
_atom_site_label
_atom_site_fract_x
_atom_site_fract_y
_atom_site_fract_z
Ca1 0.000 0.000 0.000
Zn1 0.125 0.125 0.375
Si1 0.250 0.250 0.750
```

The calculation puts the uncorrected formation energy at 0.010 eV/atom. The value obtained for the density of states at the Fermi level is 10.2 states/eV per cell. The spin magnetization is 0.00 μB/cell.



[6]
This record from Alexandria describes CrCl2 after structural relaxation. The functional is PBE.

Structure (CIF):
```
data_CrCl2
_space_group_name_H-M_alt 'F m -3 m'
_space_group_IT_number 225
_space_group_name_Hall '-F 4 2 3'
_cell_length_a 6.287
_cell_length_b 6.287
_cell_length_c 6.287
_cell_angle_alpha 90.00
_cell_angle_beta 90.00
_cell_angle_gamma 90.00
loop_
_atom_site_label
_atom_site_fract_x
_atom_site_fract_y
_atom_site_fract_z
Cr1 0.000 0.000 0.000
Cl1 0.250 0.250 0.250
```

The calculation puts the uncorrected formation energy at -0.546 eV/atom. The value obtained for the density of states at the Fermi level is 17.9 states/eV per cell. The spin magnetization is 16.00 μB/cell.



[7]
This record from Alexandria describes B5C7 after structural relaxation. The functional is PBE.

Structure (CIF):
```
data_B5C7
_space_group_name_H-M_alt 'P 1'
_space_group_IT_number 1
_cell_length_a 4.417
_cell_length_b 4.512
_cell_length_c 4.638
_cell_angle_alpha 81.83
_cell_angle_beta 74.58
_cell_angle_gamma 61.26
loop_
_space_group_symop_operation_xyz
'x,y,z'
loop_
_atom_site_label
_atom_site_fract_x
_atom_site_fract_y
_atom_site_fract_z
B1 0.000 0.000 0.000
B2 0.108 0.610 0.215
B3 0.377 0.236 0.998
B4 0.694 0.620 0.019
B5 0.816 0.290 0.538
C1 0.133 0.936 0.645
C2 0.138 0.616 0.556
C3 0.443 0.281 0.645
C4 0.490 0.949 0.533
C5 0.639 0.934 0.183
C6 0.766 0.631 0.668
C7 0.965 0.306 0.171
```

The value obtained for the density of states at the Fermi level is 1.7 states/eV per cell. The spin magnetization is 0.00 μB/cell. The calculated formation energy comes out at 444 kJ/mol of formula units.



[8]
This record from Alexandria describes Cr2BSb after structural relaxation. The functional is PBE.

Structure (CIF):
```
data_Cr2BSb
_space_group_name_H-M_alt 'I -4 2 d'
_space_group_IT_number 122
_space_group_name_Hall 'I -4 2bw'
_cell_length_a 4.514
_cell_length_b 4.514
_cell_length_c 13.130
_cell_angle_alpha 90.00
_cell_angle_beta 90.00
_cell_angle_gamma 90.00
loop_
_atom_site_label
_atom_site_fract_x
_atom_site_fract_y
_atom_site_fract_z
Cr1 0.075 0.250 0.125
B1 0.000 0.000 0.000
Sb1 0.000 0.000 0.500
```

The calculation puts the uncorrected formation energy at 0.827 eV/atom. The value obtained for the density of states at the Fermi level is 20.3 states/eV per cell. The spin magnetization is 10.43 μB/cell.